[1]
# In2CuSb PBE relaxed
# * energy relative to the elements, uncorrected: 222 meV/atom
# * magnetization: 0.00 μB per formula unit
# * Fermi-level density of states: 1.5 states/eV/f.u.
# * density: 7198 kg/m³
data_In2CuSb
_space_group_name_H-M_alt 'P 1 2/m 1'
_space_group_IT_number 10
_space_group_name_Hall '-P 2y'
_cell_length_a 4.710
_cell_length_b 3.518
_cell_length_c 6.113
_cell_angle_alpha 90.00
_cell_angle_beta 109.12
_cell_angle_gamma 90.00
loop_
_atom_site_label
_atom_site_type_symbol
_atom_site_fract_x
_atom_site_fract_y
_atom_site_fract_z
In1 In 0.000 0.000 0.000
In2 In 0.500 0.500 0.000
Cu1 Cu 0.000 0.000 0.500
Sb1 Sb 0.500 0.500 0.500

[2]
# In2CuSb PBE relaxed
# * energy relative to the elements, uncorrected: 98 meV/atom
# * magnetization: 0.00 μB per formula unit
# * Fermi-level density of states: 1.4 states/eV/f.u.
# * density: 7360 kg/m³
data_In2CuSb
_space_group_name_H-M_alt 'C m m 2'
_space_group_IT_number 35
_space_group_name_Hall 'C 2 -2'
_cell_length_a 4.488
_cell_length_b 4.703
_cell_length_c 8.871
_cell_angle_alpha 90.00
_cell_angle_beta 90.00
_cell_angle_gamma 90.00
loop_
_atom_site_label
_atom_site_type_symbol
_atom_site_fract_x
_atom_site_fract_y
_atom_site_fract_z
In1 In 0.000 0.000 0.000
In2 In 0.000 0.500 0.294
Cu1 Cu 0.000 0.500 0.799
Sb1 Sb 0.000 0.000 0.606

[3]
# InCuSb PBE relaxed
# * energy relative to the elements, uncorrected: 154 meV/atom
# * magnetization: 0.00 μB per formula unit
# * Fermi-level density of states: 1.2 states/eV/f.u.
# * energy above the most stable polymorph in this dataset: 115 meV/atom
# * density: 7527 kg/m³
data_InCuSb
_space_group_name_H-M_alt 'I 4 m m'
_space_group_IT_number 107
_space_group_name_Hall 'I 4 -2'
_cell_length_a 3.219
_cell_length_b 3.219
_cell_length_c 12.777
_cell_angle_alpha 90.00
_cell_angle_beta 90.00
_cell_angle_gamma 90.00
loop_
_atom_site_label
_atom_site_type_symbol
_atom_site_fract_x
_atom_site_fract_y
_atom_site_fract_z
In1 In 0.000 0.000 0.000
Cu1 Cu 0.000 0.000 0.645
Sb1 Sb 0.000 0.000 0.278

[4]
# In2CuSb PBE relaxed
# * energy relative to the elements, uncorrected: 155 meV/atom
# * magnetization: 0.00 μB per formula unit
# * Fermi-level density of states: 2.5 states/eV/f.u.
# * density: 7401 kg/m³
data_In2CuSb
_space_group_name_H-M_alt 'R -3 m'
_space_group_IT_number 166
_space_group_name_Hall '-R 3 2"'
_cell_length_a 3.4253
_cell_length_b 3.4253
_cell_length_c 27.4898
_cell_angle_alpha 90.00
_cell_angle_beta 90.00
_cell_angle_gamma 120.00
loop_
_atom_site_label
_atom_site_type_symbol
_atom_site_fract_x
_atom_site_fract_y
_atom_site_fract_z
In1 In 0.0000 0.0000 0.2354
Cu1 Cu 0.0000 0.0000 0.5000
Sb1 Sb 0.0000 0.0000 0.0000

[5]
# InCuSb PBE relaxed
# * energy relative to the elements, uncorrected: 112 meV/atom
# * magnetization: 0.00 μB per formula unit
# * Fermi-level density of states: 1.3 states/eV/f.u.
# * energy above the most stable polymorph in this dataset: 72 meV/atom
# * density: 7083 kg/m³
data_InCuSb
_space_group_name_H-M_alt 'I m m m'
_space_group_IT_number 71
_space_group_name_Hall '-I 2 2'
_cell_length_a 3.994
_cell_length_b 4.963
_cell_length_c 14.196
_cell_angle_alpha 90.00
_cell_angle_beta 90.00
_cell_angle_gamma 90.00
loop_
_atom_site_label
_atom_site_type_symbol
_atom_site_fract_x
_atom_site_fract_y
_atom_site_fract_z
In1 In 0.000 0.000 0.118
Cu1 Cu 0.000 0.254 0.500
Sb1 Sb 0.000 0.000 0.339

[6]
# In2CuSb PBE relaxed
# * energy relative to the elements, uncorrected: 217 meV/atom
# * magnetization: 0.00 μB per formula unit
# * Fermi-level density of states: 0.8 states/eV/f.u.
# * density: 7319 kg/m³
data_In2CuSb
_space_group_name_H-M_alt 'P 4/m m m'
_space_group_IT_number 123
_space_group_name_Hall '-P 4 2'
_cell_length_a 4.195
_cell_length_b 4.195
_cell_length_c 5.349
_cell_angle_alpha 90.00
_cell_angle_beta 90.00
_cell_angle_gamma 90.00
loop_
_atom_site_label
_atom_site_type_symbol
_atom_site_fract_x
_atom_site_fract_y
_atom_site_fract_z
In1 In 0.000 0.500 0.000
Cu1 Cu 0.000 0.000 0.500
Sb1 Sb 0.500 0.500 0.500

[7]
# InCuSb4 PBE relaxed
# * energy relative to the elements, uncorrected: 454 meV/atom
# * magnetization: 0.00 μB per formula unit
# * Fermi-level density of states: 5.1 states/eV/f.u.
# * density: 6448 kg/m³
data_InCuSb4
_space_group_name_H-M_alt 'F -4 3 m'
_space_group_IT_number 216
_space_group_name_Hall 'F -4 2 3'
_cell_length_a 8.817
_cell_length_b 8.817
_cell_length_c 8.817
_cell_angle_alpha 90.00
_cell_angle_beta 90.00
_cell_angle_gamma 90.00
loop_
_atom_site_label
_atom_site_type_symbol
_atom_site_fract_x
_atom_site_fract_y
_atom_site_fract_z
In1 In 0.000 0.000 0.000
Cu1 Cu 0.250 0.250 0.250
Sb1 Sb 0.125 0.125 0.625

[8]
# In2CuSb PBE relaxed
# * energy relative to the elements, uncorrected: 186 meV/atom
# * magnetization: 0.00 μB per formula unit
# * Fermi-level density of states: 2.2 states/eV/f.u.
# * density: 6991 kg/m³
data_In2CuSb
_space_group_name_H-M_alt 'I -4 2 d'
_space_group_IT_number 122
_space_group_name_Hall 'I -4 2bw'
_cell_length_a 8.484
_cell_length_b 8.484
_cell_length_c 5.477
_cell_angle_alpha 90.00
_cell_angle_beta 90.00
_cell_angle_gamma 90.00
loop_
_atom_site_label
_atom_site_type_symbol
_atom_site_fract_x
_atom_site_fract_y
_atom_site_fract_z
In1 In 0.183 0.250 0.125
Cu1 Cu 0.000 0.000 0.000
Sb1 Sb 0.000 0.000 0.500

[9]
# In2CuSb PBE relaxed
# * energy relative to the elements, uncorrected: 80 meV/atom
# * magnetization: 0.00 μB per formula unit
# * Fermi-level density of states: 1.8 states/eV/f.u.
# * density: 7132 kg/m³
data_In2CuSb
_space_group_name_H-M_alt 'P 1 m 1'
_space_group_IT_number 6
_space_group_name_Hall 'P -2y'
_cell_length_a 4.286
_cell_length_b 3.734
_cell_length_c 6.389
_cell_angle_alpha 90.00
_cell_angle_beta 109.09
_cell_angle_gamma 90.00
loop_
_atom_site_label
_atom_site_type_symbol
_atom_site_fract_x
_atom_site_fract_y
_atom_site_fract_z
In1 In 0.000 0.000 0.000
In2 In 0.321 0.500 0.646
Cu1 Cu 0.544 0.500 0.091
Sb1 Sb 0.709 0.000 0.419

[10]
# InCuSb PBE relaxed
# * energy relative to the elements, uncorrected: 40 meV/atom
# * magnetization: 0.00 μB per formula unit
# * Fermi-level density of states: 2.6 states/eV/f.u.
# * energy above the most stable polymorph in this dataset: 0 meV/atom
# * density: 7238 kg/m³
data_InCuSb
_space_group_name_H-M_alt 'F -4 3 m'
_space_group_IT_number 216
_space_group_name_Hall 'F -4 2 3'
_cell_length_a 6.506
_cell_length_b 6.506
_cell_length_c 6.506
_cell_angle_alpha 90.00
_cell_angle_beta 90.00
_cell_angle_gamma 90.00
loop_
_atom_site_label
_atom_site_type_symbol
_atom_site_fract_x
_atom_site_fract_y
_atom_site_fract_z
In1 In 0.000 0.000 0.000
Cu1 Cu 0.250 0.250 0.750
Sb1 Sb 0.000 0.000 0.500

[11]
# In2CuSb2 PBE relaxed
# * energy relative to the elements, uncorrected: 119 meV/atom
# * magnetization: 0.00 μB per formula unit
# * Fermi-level density of states: 1.8 states/eV/f.u.
# * energy above the most stable polymorph in this dataset: 0 meV/atom
# * density: 6642 kg/m³
data_In2CuSb2
_space_group_name_H-M_alt 'P 4/m b m'
_space_group_IT_number 127
_space_group_name_Hall '-P 4 2ab'
_cell_length_a 6.911
_cell_length_b 6.911
_cell_length_c 5.619
_cell_angle_alpha 90.00
_cell_angle_beta 90.00
_cell_angle_gamma 90.00
loop_
_atom_site_label
_atom_site_type_symbol
_atom_site_fract_x
_atom_site_fract_y
_atom_site_fract_z
In1 In 0.178 0.322 0.000
Cu1 Cu 0.000 0.000 0.500
Sb1 Sb 0.151 0.651 0.500

[12]
# In2CuSb2 PBE relaxed
# * energy relative to the elements, uncorrected: 268 meV/atom
# * magnetization: 0.00 μB per formula unit
# * Fermi-level density of states: 2.5 states/eV/f.u.
# * energy above the most stable polymorph in this dataset: 149 meV/atom
# * density: 6857 kg/m³
data_In2CuSb2
_space_group_name_H-M_alt 'P 4/m b m'
_space_group_IT_number 127
_space_group_name_Hall '-P 4 2ab'
_cell_length_a 7.125
_cell_length_b 7.125
_cell_length_c 5.121
_cell_angle_alpha 90.00
_cell_angle_beta 90.00
_cell_angle_gamma 90.00
loop_
_atom_site_label
_atom_site_type_symbol
_atom_site_fract_x
_atom_site_fract_y
_atom_site_fract_z
In1 In 0.165 0.335 0.000
Cu1 Cu 0.000 0.000 0.000
Sb1 Sb 0.144 0.644 0.500

[13]
# In2CuSb PBE relaxed
# * energy relative to the elements, uncorrected: 231 meV/atom
# * magnetization: 0.00 μB per formula unit
# * Fermi-level density of states: 1.9 states/eV/f.u.
# * density: 7374 kg/m³
data_In2CuSb
_space_group_name_H-M_alt 'I 4/m m m'
_space_group_IT_number 139
_space_group_name_Hall '-I 4 2'
_cell_length_a 4.356
_cell_length_b 4.356
_cell_length_c 9.847
_cell_angle_alpha 90.00
_cell_angle_beta 90.00
_cell_angle_gamma 90.00
loop_
_atom_site_label
_atom_site_type_symbol
_atom_site_fract_x
_atom_site_fract_y
_atom_site_fract_z
In1 In 0.000 0.500 0.250
Cu1 Cu 0.000 0.000 0.000
Sb1 Sb 0.000 0.000 0.500

[14]
# In2CuSb PBE relaxed
# * energy relative to the elements, uncorrected: 224 meV/atom
# * magnetization: 0.00 μB per formula unit
# * Fermi-level density of states: 1.1 states/eV/f.u.
# * density: 7314 kg/m³
data_In2CuSb
_space_group_name_H-M_alt 'I -4 m 2'
_space_group_IT_number 119
_space_group_name_Hall 'I -4 -2'
_cell_length_a 4.793
_cell_length_b 4.793
_cell_length_c 8.201
_cell_angle_alpha 90.00
_cell_angle_beta 90.00
_cell_angle_gamma 90.00
loop_
_atom_site_label
_atom_site_type_symbol
_atom_site_fract_x
_atom_site_fract_y
_atom_site_fract_z
In1 In 0.000 0.000 0.000
In2 In 0.000 0.500 0.250
Cu1 Cu 0.000 0.000 0.500
Sb1 Sb 0.000 0.500 0.750

[15]
# In2CuSb PBE relaxed
# * energy relative to the elements, uncorrected: 96 meV/atom
# * magnetization: 0.00 μB per formula unit
# * Fermi-level density of states: 1.2 states/eV/f.u.
# * density: 7028 kg/m³
data_In2CuSb
_space_group_name_H-M_alt 'C 1 2/m 1'
_space_group_IT_number 12
_space_group_name_Hall '-C 2y'
_cell_length_a 14.345
_cell_length_b 3.226
_cell_length_c 4.451
_cell_angle_alpha 90.00
_cell_angle_beta 107.83
_cell_angle_gamma 90.00
loop_
_atom_site_label
_atom_site_type_symbol
_atom_site_fract_x
_atom_site_fract_y
_atom_site_fract_z
In1 In 0.181 0.000 0.182
Cu1 Cu 0.000 0.500 0.000
Sb1 Sb 0.000 0.000 0.500

[16]
# In2CuSb PBE relaxed
# * energy relative to the elements, uncorrected: 105 meV/atom
# * magnetization: 0.00 μB per formula unit
# * Fermi-level density of states: 1.9 states/eV/f.u.
# * density: 7200 kg/m³
data_In2CuSb
_space_group_name_H-M_alt 'I m m 2'
_space_group_IT_number 44
_space_group_name_Hall 'I 2 -2'
_cell_length_a 3.415
_cell_length_b 4.433
_cell_length_c 12.643
_cell_angle_alpha 90.00
_cell_angle_beta 90.00
_cell_angle_gamma 90.00
loop_
_atom_site_label
_atom_site_type_symbol
_atom_site_fract_x
_atom_site_fract_y
_atom_site_fract_z
In1 In 0.000 0.000 0.000
In2 In 0.000 0.500 0.181
Cu1 Cu 0.000 0.000 0.488
Sb1 Sb 0.000 0.500 0.816

[17]
# In2CuSb PBE relaxed
# * energy relative to the elements, uncorrected: 256 meV/atom
# * magnetization: 0.00 μB per formula unit
# * Fermi-level density of states: 1.4 states/eV/f.u.
# * density: 7326 kg/m³
data_In2CuSb
_space_group_name_H-M_alt 'C 1 2/m 1'
_space_group_IT_number 12
_space_group_name_Hall '-C 2y'
_cell_length_a 6.483
_cell_length_b 8.665
_cell_length_c 3.348
_cell_angle_alpha 90.00
_cell_angle_beta 90.14
_cell_angle_gamma 90.00
loop_
_atom_site_label
_atom_site_type_symbol
_atom_site_fract_x
_atom_site_fract_y
_atom_site_fract_z
In1 In 0.250 0.250 0.000
Cu1 Cu 0.000 0.000 0.500
Sb1 Sb 0.000 0.500 0.500

[18]
# In2CuSb PBE relaxed
# * energy relative to the elements, uncorrected: 150 meV/atom
# * magnetization: 0.00 μB per formula unit
# * Fermi-level density of states: 1.6 states/eV/f.u.
# * density: 7195 kg/m³
data_In2CuSb
_space_group_name_H-M_alt 'P 1 2/m 1'
_space_group_IT_number 10
_space_group_name_Hall '-P 2y'
_cell_length_a 4.514
_cell_length_b 3.867
_cell_length_c 5.767
_cell_angle_alpha 90.00
_cell_angle_beta 107.97
_cell_angle_gamma 90.00
loop_
_atom_site_label
_atom_site_type_symbol
_atom_site_fract_x
_atom_site_fract_y
_atom_site_fract_z
In1 In 0.085 0.000 0.272
Cu1 Cu 0.500 0.500 0.500
Sb1 Sb 0.500 0.500 0.000

[19]
# In2CuSb PBE relaxed
# * energy relative to the elements, uncorrected: 121 meV/atom
# * magnetization: 0.00 μB per formula unit
# * Fermi-level density of states: 1.3 states/eV/f.u.
# * density: 7538 kg/m³
data_In2CuSb
_space_group_name_H-M_alt 'C m m m'
_space_group_IT_number 65
_space_group_name_Hall '-C 2 2'
_cell_length_a 4.441
_cell_length_b 4.772
_cell_length_c 8.627
_cell_angle_alpha 90.00
_cell_angle_beta 90.00
_cell_angle_gamma 90.00
loop_
_atom_site_label
_atom_site_type_symbol
_atom_site_fract_x
_atom_site_fract_y
_atom_site_fract_z
In1 In 0.000 0.000 0.201
Cu1 Cu 0.000 0.500 0.000
Sb1 Sb 0.000 0.500 0.500

[20]
# In2CuSb PBE relaxed
# * energy relative to the elements, uncorrected: 55 meV/atom
# * magnetization: 0.00 μB per formula unit
# * Fermi-level density of states: 1.2 states/eV/f.u.
# * density: 6788 kg/m³
data_In2CuSb
_space_group_name_H-M_alt 'C 1 m 1'
_space_group_IT_number 8
_space_group_name_Hall 'C -2y'
_cell_length_a 7.689
_cell_length_b 4.182
_cell_length_c 6.718
_cell_angle_alpha 90.00
_cell_angle_beta 109.97
_cell_angle_gamma 90.00
loop_
_atom_site_label
_atom_site_type_symbol
_atom_site_fract_x
_atom_site_fract_y
_atom_site_fract_z
In1 In 0.000 0.000 0.000
In2 In 0.223 0.000 0.676
Cu1 Cu 0.491 0.000 0.462
Sb1 Sb 0.276 0.500 0.327